Record 1
Y2BeNiN | GGA-PBE | optimized geometry

Lattice parameters (Å, degrees): 4.8684 4.8684 3.3637 90.00 90.00 90.00
Space group P4/mmm (No. 123)
Unique sites:
1 Y 0.0000 0.5000 0.0000
2 Be 0.0000 0.0000 0.5000
3 Ni 0.5000 0.5000 0.5000
4 N 0.0000 0.0000 0.0000

Output
calculated total energy	-0.251	Ha/atom

Record 2
Sn2Bi2Te | GGA-PBE | optimized geometry

Lattice parameters (Å, degrees): 4.3947 4.3947 16.3507 90.00 90.00 90.00
Space group I4/mmm (No. 139)
Unique sites:
1 Sn 0.0000 0.5000 0.2500
2 Bi 0.0000 0.0000 0.1006
3 Te 0.0000 0.0000 0.5000

Output
offset from the most stable computed form	0.000	eV/atom

Record 3
AlFe2Pb | GGA-PBE | optimized geometry

Lattice parameters (Å, degrees): 3.0779 3.0779 25.8464 90.00 90.00 120.00
Space group R3m (No. 160, hexagonal axes)
Unique sites:
1 Al 0.0000 0.0000 0.0000
2 Fe 0.0000 0.0000 0.2630
3 Fe 0.0000 0.0000 0.5334
4 Pb 0.0000 0.0000 0.7740

Output
energy of formation from the pure elements	0.375	eV per atom
offset from the most stable computed form	0.152	eV/atom

Record 4
Th2TiBe3Ir4 | GGA-PBE | optimized geometry

Lattice parameters (Å, degrees): 4.0705 4.0705 10.1042 90.00 90.00 90.00
Space group P-4m2 (No. 115)
Unique sites:
1 Th 0.0000 0.5000 0.2281
2 Ti 0.0000 0.0000 0.5000
3 Be 0.0000 0.5000 0.8914
4 Be 0.5000 0.5000 0.5000
5 Ir 0.0000 0.0000 0.0000
6 Ir 0.0000 0.5000 0.6473
7 Ir 0.5000 0.5000 0.0000

Output
energy of formation from the pure elements	-0.739	eV per atom

Record 5
YP3I | GGA-PBE | optimized geometry

Lattice parameters (Å, degrees): 5.0337 5.0337 5.0337 90.00 90.00 90.00
Space group Pm-3m (No. 221)
Unique sites:
1 Y 0.0000 0.0000 0.0000
2 P 0.0000 0.5000 0.5000
3 I 0.5000 0.5000 0.5000

Output
offset from the most stable computed form	0.021	eV/atom

Record 6
BeH2Au | GGA-PBE | optimized geometry

Lattice parameters (Å, degrees): 5.1935 5.1935 5.1935 90.00 90.00 90.00
Space group Fm-3m (No. 225)
Unique sites:
1 Be 0.0000 0.0000 0.0000
2 H 0.2500 0.2500 0.2500
3 Au 0.0000 0.0000 0.5000

Output
offset from the most stable computed form	0.376	eV/atom

Record 7
Sr3TcCl | GGA-PBE | optimized geometry

Lattice parameters (Å, degrees): 5.7532 5.7532 5.7532 90.00 90.00 90.00
Space group Pm-3m (No. 221)
Unique sites:
1 Sr 0.0000 0.0000 0.5000
2 Tc 0.0000 0.0000 0.0000
3 Cl 0.5000 0.5000 0.5000

Output
offset from the most stable computed form	0.000	eV/atom

Record 8
SrTlCuO4 | GGA-PBE | optimized geometry

Lattice parameters (Å, degrees): 5.9594 5.7394 6.6888 90.00 108.15 90.00
Space group P2_1/m (No. 11)
Unique sites:
1 Sr 0.2316 0.2500 0.4378
2 Tl 0.3123 0.2500 0.9522
3 Cu 0.2357 0.7500 0.1827
4 O 0.0006 0.7500 0.9292
5 O 0.0265 0.7500 0.3415
6 O 0.4801 0.5186 0.2292

Output
calculated total energy	-0.186	Ha/atom

Record 9
Cd4AsSeCl2 | GGA-PBE | optimized geometry

Lattice parameters (Å, degrees): 11.6589 11.6431 8.1962 90.00 134.47 90.00
Space group C2/c (No. 15)
Unique sites:
1 Cd 0.0007 0.2435 0.0294
2 Cd 0.2341 0.0144 0.4834
3 As 0.2500 0.2500 0.5000
4 Se 0.0000 0.0000 0.0000
5 Cl 0.0000 0.5000 0.0000
6 Cl 0.2500 0.2500 0.0000

Output
calculated total energy	-0.088	Ha/atom

Record 10
Pm2Y3Sn4 | GGA-PBE | optimized geometry

Lattice parameters (Å, degrees): 7.0525 17.0885 8.9558 90.00 90.00 90.00
Space group Cmce (No. 64)
Unique sites:
1 Pm 0.0000 0.1111 0.0910
2 Y 0.0000 0.0000 0.5000
3 Y 0.2500 0.2057 0.7500
4 Sn 0.0000 0.1868 0.4446
5 Sn 0.2500 0.0293 0.7500

Output
energy of formation from the pure elements	-0.630	eV per atom
offset from the most stable computed form	0.180	eV/atom

Record 11
La3BiPN | GGA-PBE | optimized geometry

Lattice parameters (Å, degrees): 9.1276 4.3579 9.7254 90.00 104.05 90.00
Space group P2_1/m (No. 11)
Unique sites:
1 La 0.0631 0.2500 0.3420
2 La 0.3369 0.2500 0.9754
3 La 0.3921 0.7500 0.6609
4 Bi 0.3064 0.7500 0.2698
5 P 0.1560 0.2500 0.6455
6 N 0.4124 0.7500 0.8956

Output
calculated total energy	-0.246	Ha/atom

Record 12
Dy3Tm | GGA-PBE | optimized geometry

Lattice parameters (Å, degrees): 7.9495 7.9495 7.9495 90.00 90.00 90.00
Space group Fm-3m (No. 225)
Unique sites:
1 Dy 0.0000 0.0000 0.0000
2 Dy 0.2500 0.2500 0.2500
3 Tm 0.0000 0.0000 0.5000

Output
energy of formation from the pure elements	0.144	eV per atom
offset from the most stable computed form	0.139	eV/atom